Record 1
Entry from Alexandria via LeMat-Bulk: NaSnH after structural relaxation (GGA-PBE).

Output
energy above the most stable polymorph in this dataset = 8.7 kJ/mol of formula units

Cell: 4.5703 6.2752 6.2752 Å, 133.83 90.00 90.00°
Fractional positions:
Na  0.2500  0.1364  0.8636
Na  0.7500  0.8636  0.1364
Sn  0.2500  0.4073  0.5767
Sn  0.7500  0.5767  0.4073
H  0.2500  0.7844  0.9511
H  0.7500  0.9511  0.7844



Record 2
Entry from Alexandria via LeMat-Bulk: Ho5ScGa4 after structural relaxation (GGA-PBE).

Output
ΔE_f = -0.36 eV per atom

Cell: 8.1749 8.1749 7.9494 Å, 102.09 102.09 29.16°
Fractional positions:
Ho  0.0000  0.0000  0.0000
Ho  0.3229  0.3229  0.9207
Ho  0.3311  0.3311  0.3798
Ho  0.6689  0.6689  0.6202
Ho  0.6771  0.6771  0.0793
Sc  0.0000  0.0000  0.5000
Ga  0.1395  0.1395  0.3332
Ga  0.4791  0.4791  0.7323
Ga  0.5209  0.5209  0.2677
Ga  0.8605  0.8605  0.6668



Question: What is the formula in the first record?
Answer: NaSnH